1.
# Cs3LiTl2I6

A relaxed structure of Cs3LiTl2I6 (PBE, Alexandria via LeMat-Bulk).

The value obtained for the density of states at the Fermi level is 0.000 states/eV/f.u. For the spin magnetization, the calculation gives 0.00 μB/f.u. For the raw formation energy, the calculation gives -1.15 eV/atom. The value obtained for the electronic total energy is -2.69 eV per atom.

It has space group C2/m (No. 12), with a = 8.9253 Å, b = 15.3813 Å, c = 8.9833 Å, α = 90.00°, β = 109.43° and γ = 90.00°. Symmetry generates all atoms from Cs at (0.0000, 0.0000, 0.0000), Cs at (0.0000, 0.3247, 0.0000), Li at (0.0000, 0.5000, 0.5000), Tl at (0.0000, 0.1639, 0.5000), I at (0.2210, 0.3473, 0.7069) and I at (0.2347, 0.5000, 0.2835).

2.
# TaPdBr2

A relaxed structure of TaPdBr2 (PBE, Alexandria via LeMat-Bulk).

The value obtained for the density of states at the Fermi level is 1.107 states/eV/f.u. For the spin magnetization, the calculation gives 0.00 μB/f.u. For the raw formation energy, the calculation gives 0.04 eV/atom. The value obtained for the electronic total energy is -5.06 eV per atom. As for the polymorph energy (0 for the lowest one): 0 meV/atom.

It has space group R-3m (No. 166, hexagonal axes), with a = 3.2573 Å, b = 3.2573 Å, c = 26.7613 Å, α = 90.00°, β = 90.00° and γ = 120.00°. Symmetry generates all atoms from Ta at (0.0000, 0.0000, 0.0000), Pd at (0.0000, 0.0000, 0.5000) and Br at (0.0000, 0.0000, 0.4052).

3.
# CoIrRu2

A relaxed structure of CoIrRu2 (PBE, Alexandria via LeMat-Bulk).

The value obtained for the density of states at the Fermi level is 4.439 states/eV/f.u. For the spin magnetization, the calculation gives 0.66 μB/f.u. The value obtained for the electronic total energy is -8.54 eV per atom. The calculation puts the energy of formation at 0.088 eV per atom.

It has space group C2/m (No. 12), with a = 8.8369 Å, b = 2.6760 Å, c = 4.5818 Å, α = 90.00°, β = 100.21° and γ = 90.00°. Symmetry generates all atoms from Co at (0.0000, 0.0000, 0.0000), Ir at (0.0000, 0.5000, 0.5000) and Ru at (0.2491, 0.5000, 0.2441).

4.
# HgNO

A relaxed structure of HgNO (PBE, Alexandria via LeMat-Bulk).

The value obtained for the density of states at the Fermi level is 0.372 states/eV/f.u. For the spin magnetization, the calculation gives 0.00 μB/f.u. For the raw formation energy, the calculation gives -0.04 eV/atom. The value obtained for the electronic total energy is -4.57 eV per atom.

It has space group C2/m (No. 12), with a = 4.6882 Å, b = 4.7299 Å, c = 10.9352 Å, α = 90.00°, β = 90.27° and γ = 90.00°. Symmetry generates all atoms from Hg at (0.2491, 0.0000, 0.3773), N at (0.0526, 0.0000, 0.0457) and O at (0.2492, 0.5000, 0.3817).

What did the first record say?
# Cs3LiTl2I6

A relaxed structure of Cs3LiTl2I6 (PBE, Alexandria via LeMat-Bulk).

The value obtained for the density of states at the Fermi level is 0.000 states/eV/f.u. For the spin magnetization, the calculation gives 0.00 μB/f.u. For the raw formation energy, the calculation gives -1.15 eV/atom. The value obtained for the electronic total energy is -2.69 eV per atom.

It has space group C2/m (No. 12), with a = 8.9253 Å, b = 15.3813 Å, c = 8.9833 Å, α = 90.00°, β = 109.43° and γ = 90.00°. Symmetry generates all atoms from Cs at (0.0000, 0.0000, 0.0000), Cs at (0.0000, 0.3247, 0.0000), Li at (0.0000, 0.5000, 0.5000), Tl at (0.0000, 0.1639, 0.5000), I at (0.2210, 0.3473, 0.7069) and I at (0.2347, 0.5000, 0.2835).